No. 1
Entry from Alexandria: a relaxed Nd2TmCd2 crystal (GGA-PBE).

DFT total energy, eV/cell: -34.059
Energy of formation, eV per atom: -0.238
Density of states at the Fermi level, states/eV per atom: 1.007
Energy above the lowest structure with this stoichiometry, eV per formula unit: 0.00

a = 3.7531 Å, b = 5.3669 Å, c = 14.3272 Å
α = 90.00°, β = 97.51°, γ = 90.00°
Sites, in units of the cell vectors:
Cd  0.5593  0.2500  0.1178
Cd  0.3617  0.2500  0.7231
Cd  0.4407  0.7500  0.8822
Cd  0.6383  0.7500  0.2769
Nd  0.2335  0.7500  0.4687
Nd  0.9560  0.2500  0.9131
Nd  0.0440  0.7500  0.0869
Nd  0.7665  0.2500  0.5313
Tm  0.8497  0.7500  0.7003
Tm  0.1503  0.2500  0.2997

No. 2
Entry from Alexandria: a relaxed Sc2TlPb crystal (GGA-PBE).

DFT total energy, eV/cell: -37.960
Energy of formation, eV per atom: -0.061
Density of states at the Fermi level, states/eV per atom: 0.996
Energy above the lowest structure with this stoichiometry, eV per formula unit: 1.03

a = 7.9640 Å, b = 7.9640 Å, c = 6.5316 Å
α = 52.44°, β = 52.44°, γ = 90.00°
Sites, in units of the cell vectors:
Sc  0.1259  0.6250  0.2500
Sc  0.8750  0.8741  0.7500
Sc  0.3750  0.3759  0.7500
Sc  0.6241  0.1250  0.2500
Pb  0.0000  0.0000  0.0000
Pb  0.7500  0.2500  0.5000
Tl  0.2500  0.7500  0.5000
Tl  0.5000  0.5000  0.0000

No. 3
Entry from Alexandria: a relaxed PrDyIr crystal (GGA-PBE).

DFT total energy, eV/cell: -39.725
Energy of formation, eV per atom: -0.540
Density of states at the Fermi level, states/eV per atom: 0.911
Energy above the lowest structure with this stoichiometry, eV per formula unit: 0.17

a = 4.6161 Å, b = 4.6161 Å, c = 8.0547 Å
α = 106.57°, β = 106.57°, γ = 90.04°
Sites, in units of the cell vectors:
Pr  0.3136  0.3136  0.1269
Pr  0.6864  0.6864  0.8731
Dy  0.5000  0.0000  0.5000
Dy  0.0000  0.5000  0.5000
Ir  0.8774  0.8774  0.2529
Ir  0.1226  0.1226  0.7471

No. 4
Entry from Alexandria: a relaxed Zn9CuNi2 crystal (GGA-PBE).

DFT total energy, eV/cell: -28.236
Energy of formation, eV per atom: -0.093
Density of states at the Fermi level, states/eV per atom: 0.342

a = 5.8154 Å, b = 4.7155 Å, c = 6.0540 Å
α = 83.18°, β = 95.69°, γ = 95.57°
Sites, in units of the cell vectors:
Zn  0.5944  0.7479  0.0862
Zn  0.4056  0.2521  0.9138
Zn  0.6929  0.9923  0.6659
Zn  0.1566  0.5147  0.1768
Zn  0.5000  0.5000  0.5000
Zn  0.8434  0.4853  0.8232
Zn  0.7679  0.2366  0.2650
Zn  0.3071  0.0077  0.3341
Zn  0.2321  0.7634  0.7350
Ni  0.0972  0.2603  0.5865
Ni  0.9028  0.7397  0.4135
Cu  0.0000  0.0000  0.0000